VASP calculation (GGA-PBE) on Ho2FeGe2Rh5 after structural relaxation.

Results
Formation energy   -663 meV per atom
Total magnetization   7.57 Bohr magnetons per cell

Unit cell a=9.655 b=9.655 c=3.574 alpha=90.00 beta=90.00 gamma=90.00
Fractional coordinates of all 20 atoms:
Ho: 0.173 0.327 0.000
Ho: 0.327 0.827 0.000
Ho: 0.673 0.173 0.000
Ho: 0.827 0.673 0.000
Fe: 0.000 0.000 0.000
Fe: 0.500 0.500 0.000
Ge: 0.127 0.627 0.000
Ge: 0.373 0.127 0.000
Ge: 0.627 0.873 0.000
Ge: 0.873 0.373 0.000
Rh: 0.000 0.500 0.500
Rh: 0.066 0.797 0.500
Rh: 0.203 0.066 0.500
Rh: 0.297 0.566 0.500
Rh: 0.434 0.297 0.500
Rh: 0.500 0.000 0.500
Rh: 0.566 0.703 0.500
Rh: 0.703 0.434 0.500
Rh: 0.797 0.934 0.500
Rh: 0.934 0.203 0.500



VASP calculation (GGA-PBE) on HoFeTcGe2 after structural relaxation.

Results
Formation energy   -435 meV per atom
Total magnetization   2.45 Bohr magnetons per cell

Unit cell a=6.069 b=6.069 c=6.069 alpha=141.30 beta=141.30 gamma=55.89
Fractional coordinates of all 5 atoms:
Ho: 0.000 0.000 0.000
Fe: 0.750 0.250 0.500
Tc: 0.250 0.750 0.500
Ge: 0.381 0.381 0.000
Ge: 0.619 0.619 0.000



VASP calculation (GGA-PBE) on FeGeI2 after structural relaxation.

Results
Total magnetization   2.95 Bohr magnetons per cell
Energy relative to the lowest polymorph listed for this composition   0.560 eV/f.u.
Uncorrected formation energy   661 meV per atom

Unit cell a=5.170 b=5.170 c=5.170 alpha=60.00 beta=60.00 gamma=60.00
Fractional coordinates of all 4 atoms:
Fe: 0.000 0.000 0.000
Ge: 0.500 0.500 0.500
I: 0.250 0.250 0.250
I: 0.750 0.750 0.750



VASP calculation (GGA-PBE) on Fe3GeI9 after structural relaxation.

Results
Total magnetization   26.00 Bohr magnetons per cell
Uncorrected formation energy   -129 meV per atom

Unit cell a=11.240 b=11.240 c=14.437 alpha=124.26 beta=124.26 gamma=53.44
Fractional coordinates of all 26 atoms:
Fe: 0.074 0.926 0.500
Fe: 0.289 0.446 0.542
Fe: 0.446 0.289 0.042
Fe: 0.668 0.892 0.158
Fe: 0.892 0.668 0.658
Fe: 0.926 0.074 0.000
Ge: 0.421 0.878 0.335
Ge: 0.878 0.421 0.835
I: 0.021 0.060 0.694
I: 0.060 0.021 0.194
I: 0.072 0.806 0.855
I: 0.080 0.408 0.543
I: 0.129 0.626 0.411
I: 0.177 0.408 0.888
I: 0.305 0.949 0.525
I: 0.408 0.080 0.043
I: 0.408 0.177 0.388
I: 0.498 0.498 0.247
I: 0.498 0.498 0.747
I: 0.586 0.730 0.169
I: 0.626 0.129 0.911
I: 0.718 0.858 0.540
I: 0.730 0.586 0.669
I: 0.806 0.072 0.355
I: 0.858 0.718 0.040
I: 0.949 0.305 0.025



VASP calculation (GGA-PBE) on FeGeI4 after structural relaxation.

Results
Total magnetization   16.00 Bohr magnetons per cell
Uncorrected formation energy   -143 meV per atom

Unit cell a=8.791 b=8.388 c=12.049 alpha=90.00 beta=90.00 gamma=90.00
Fractional coordinates of all 24 atoms:
Fe: 0.001 0.250 0.108
Fe: 0.499 0.750 0.608
Fe: 0.501 0.250 0.392
Fe: 0.999 0.750 0.892
Ge: 0.249 0.250 0.750
Ge: 0.251 0.750 0.250
Ge: 0.749 0.250 0.750
Ge: 0.751 0.750 0.250
I: 0.001 0.006 0.252
I: 0.001 0.494 0.252
I: 0.247 0.750 0.499
I: 0.248 0.250 0.501
I: 0.252 0.750 0.001
I: 0.253 0.250 0.999
I: 0.499 0.506 0.752
I: 0.499 0.994 0.752
I: 0.501 0.006 0.248
I: 0.501 0.494 0.248
I: 0.747 0.750 0.001
I: 0.748 0.250 0.999
I: 0.752 0.750 0.499
I: 0.753 0.250 0.501
I: 0.999 0.506 0.748
I: 0.999 0.994 0.748



VASP calculation (GGA-PBE) on Fe2GeI after structural relaxation.

Results
Total magnetization   3.94 Bohr magnetons per cell
Uncorrected formation energy   706 meV per atom

Unit cell a=4.499 b=4.499 c=4.499 alpha=60.00 beta=60.00 gamma=60.00
Fractional coordinates of all 4 atoms:
Fe: 0.250 0.250 0.250
Fe: 0.750 0.750 0.750
Ge: 0.000 0.000 0.000
I: 0.500 0.500 0.500



VASP calculation (GGA-PBE) on FeGe2I after structural relaxation.

Results
Total magnetization   0.00 Bohr magnetons per cell
Uncorrected formation energy   463 meV per atom

Unit cell a=7.330 b=7.330 c=7.330 alpha=131.64 beta=131.64 gamma=70.80
Fractional coordinates of all 8 atoms:
Fe: 0.000 0.000 0.000
Fe: 0.750 0.250 0.500
Ge: 0.375 0.248 0.373
Ge: 0.752 0.125 0.127
Ge: 0.875 0.002 0.627
Ge: 0.998 0.625 0.873
I: 0.250 0.750 0.500
I: 0.500 0.500 0.000



VASP calculation (GGA-PBE) on FeGeI after structural relaxation.

Results
Total magnetization   0.31 Bohr magnetons per cell
Uncorrected formation energy   363 meV per atom

Unit cell a=3.743 b=3.743 c=11.338 alpha=90.00 beta=90.00 gamma=120.00
Fractional coordinates of all 6 atoms:
Fe: 0.000 0.000 0.101
Fe: 0.000 0.000 0.899
Ge: 0.333 0.667 0.000
Ge: 0.667 0.333 0.500
I: 0.667 0.333 0.231
I: 0.667 0.333 0.769



VASP calculation (GGA-PBE) on Fe2GeI8 after structural relaxation.

Results
Total magnetization   10.00 Bohr magnetons per cell
Uncorrected formation energy   -205 meV per atom

Unit cell a=8.691 b=8.691 c=7.014 alpha=93.74 beta=93.74 gamma=81.47
Fractional coordinates of all 11 atoms:
Fe: 0.199 0.199 0.141
Fe: 0.801 0.801 0.859
Ge: 0.000 0.000 0.500
I: 0.076 0.718 0.733
I: 0.194 0.194 0.773
I: 0.282 0.924 0.267
I: 0.383 0.383 0.261
I: 0.617 0.617 0.739
I: 0.718 0.076 0.733
I: 0.806 0.806 0.227
I: 0.924 0.282 0.267



VASP calculation (GGA-PBE) on FeGeI2 after structural relaxation.

Results
Total magnetization   3.98 Bohr magnetons per cell
Energy relative to the lowest polymorph listed for this composition   0.000 eV/f.u.
Uncorrected formation energy   520 meV per atom

Unit cell a=7.202 b=7.202 c=7.202 alpha=120.38 beta=120.38 gamma=89.34
Fractional coordinates of all 8 atoms:
Fe: 0.000 0.000 0.000
Fe: 0.750 0.250 0.500
Ge: 0.250 0.750 0.500
Ge: 0.500 0.500 0.000
I: 0.070 0.625 0.945
I: 0.375 0.320 0.445
I: 0.680 0.125 0.055
I: 0.875 0.930 0.555



VASP calculation (GGA-PBE) on FeGe2I8 after structural relaxation.

Results
Total magnetization   3.98 Bohr magnetons per cell
Uncorrected formation energy   -145 meV per atom

Unit cell a=8.727 b=8.727 c=7.432 alpha=95.39 beta=95.39 gamma=76.55
Fractional coordinates of all 11 atoms:
Fe: 0.000 0.000 0.000
Ge: 0.219 0.219 0.168
Ge: 0.781 0.781 0.832
I: 0.089 0.719 0.764
I: 0.166 0.166 0.802
I: 0.281 0.911 0.236
I: 0.407 0.407 0.373
I: 0.593 0.593 0.627
I: 0.719 0.089 0.764
I: 0.834 0.834 0.198
I: 0.911 0.281 0.236



Which formula does entry 7 have? FeGe2I